No. 1
Here is a relaxed structure of TbNd3Sm2Tm6 from the Alexandria database. Energies are from PBE.

a = 6.1913 Å, b = 10.7206 Å, c = 11.7005 Å
α = 90.00°, β = 100.13°, γ = 90.00°
Last column: nearest neighbours and their distance in Å.
Space group C2/m (No. 12)
Unique sites:
Tb 0.0000 0.0000 0.0000  6 Tm 3.52-3.53, 6 Sm 3.57-3.58
Nd 0.0000 0.1668 0.5000  6 Tm 3.56, 6 Nd 3.57-3.58
Nd 0.0000 0.5000 0.5000  6 Tm 3.56, 6 Nd 3.57
Sm 0.0000 0.3335 0.0000  6 Tm 3.52-3.53, 3 Sm 3.57-3.58, 3 Tb 3.57-3.58
Tm 0.2501 0.0000 0.7517  1 Tb 3.52, 2 Sm 3.53, 3 Nd 3.56, 6 Tm 3.57-3.58
Tm 0.2496 0.1666 0.2481  2 Sm 3.52-3.53, 1 Tb 3.53, 3 Nd 3.56, 6 Tm 3.57-3.58

Results
For the formation energy, the calculation gives 18 meV/atom.

---

No. 2
Here is a relaxed structure of Sr2Al4Cd3Ag from the Alexandria database. Energies are from PBE.

a = 4.5355 Å, b = 4.5355 Å, c = 11.6620 Å
α = 90.00°, β = 90.00°, γ = 90.00°
Last column: nearest neighbours and their distance in Å.
Space group P-4m2 (No. 115)
Unique sites:
Sr 0.0000 0.5000 0.2452  6 Cd 3.48-3.65, 8 Al 3.49-3.74, 2 Ag 3.65
Al 0.0000 0.0000 0.5000  4 Cd 2.79
Al 0.0000 0.5000 0.8727  3 Cd 2.71-2.72, 2 Ag 2.71
Al 0.5000 0.5000 0.5000  4 Cd 2.79
Cd 0.0000 0.0000 0.0000  4 Al 2.71
Cd 0.0000 0.5000 0.6398  5 Al 2.72-2.79
Ag 0.5000 0.5000 0.0000  4 Al 2.71

Results
For the formation energy, the calculation gives -193 meV/atom.

---

No. 3
Here is a relaxed structure of Tb3Sm8Pu from the Alexandria database. Energies are from PBE.

a = 8.6919 Å, b = 8.6919 Å, c = 11.4878 Å
α = 90.00°, β = 90.00°, γ = 90.00°
Last column: nearest neighbours and their distance in Å.
Space group I-42m (No. 121)
Unique sites:
Tb 0.0000 0.0000 0.0000  8 Sm 3.28-3.40
Tb 0.0000 0.5000 0.2500  4 Sm 3.44
Sm 0.1249 0.1249 0.7358  3 Sm 3.07-3.29, 1 Pu 3.11, 1 Tb 3.40
Sm 0.2343 0.2343 0.4748  1 Pu 2.89
Pu 0.0000 0.0000 0.5000  8 Sm 2.89-3.11

Results
For the formation energy, the calculation gives 551 meV/atom.

---

No. 4
Here is a relaxed structure of RuSO from the Alexandria database. Energies are from PBE.

a = 5.2906 Å, b = 4.8320 Å, c = 6.1701 Å
α = 90.00°, β = 95.74°, γ = 90.00°
Last column: nearest neighbours and their distance in Å.
Space group P2_1/c (No. 14)
Unique sites:
Ru 0.2481 0.0175 0.1247  3 O 2.01-2.15, 1 S 2.23
S 0.0824 0.6738 0.9068  3 Ru 2.23-2.29, 1 S 2.26
O 0.4117 0.1695 0.8431  3 Ru 2.01-2.15

Results
As for the formation energy without anion corrections: -0.63 eV/atom.